# 1
Computed, not measured: an optimized crystal structure of MgNpRh14 at the PBE-GGA level of DFT.

Cell: 5.4967 5.4967 7.8434 Å, 90.00 90.00 90.00°
Space group P4/mmm (No. 123)
Asymmetric unit:
Mg 0.0000 0.0000 0.0000 x1
Np 0.5000 0.5000 0.0000 x1
Rh 0.0000 0.0000 0.5000 x1
Rh 0.0000 0.5000 0.0000 x2
Rh 0.0000 0.5000 0.5000 x2
Rh 0.2521 0.2521 0.2567 x8
Rh 0.5000 0.5000 0.5000 x1

DFT total energy = -119.585 eV for the cell shown
DFT formation energy = -133 meV/atom
size of the total moment = 0.67 μB/f.u.

---

# 2
Computed, not measured: an optimized crystal structure of MgNpRh at the PBE-GGA level of DFT.

Cell: 3.1087 3.1087 12.2749 Å, 90.00 90.00 90.00°
Space group I4mm (No. 107)
Asymmetric unit:
Mg 0.0000 0.0000 0.0000 x2
Np 0.0000 0.0000 0.7156 x2
Rh 0.0000 0.0000 0.3662 x2

DFT total energy = -44.568 eV for the cell shown
DFT formation energy = -132 meV/atom
size of the total moment = 3.98 μB/f.u.

---

The highest DFT formation energy belongs to which entry? MgNpRh

---

Which of these has the lowest DFT total energy? MgNpRh14